Entry 1:
Mg7Ag2Pb3 (PBE, optimized geometry); M_tot = 0.00 μB/f.u.; calculated total energy = -27.81 eV for the cell shown; crystal system = orthorhombic; DFT formation energy = 0.179 eV/f.u.; D(E_F) = 0.47 states/eV per atom
1.0
4.2895 0.0000 0.0000
0.0000 4.6373 0.0000
0.0000 -2.3187 14.9177
Ag Mg Pb
2 7 3
Direct
0.0000 0.1316 0.2631 Ag
0.0000 0.8684 0.7369 Ag
0.0000 0.2206 0.4412 Mg
0.5000 0.9231 0.8462 Mg
0.0000 0.4193 0.8386 Mg
0.5000 0.0769 0.1538 Mg
0.0000 0.7794 0.5588 Mg
0.0000 0.0000 0.0000 Mg
0.0000 0.5807 0.1614 Mg
0.5000 0.5000 0.0000 Pb
0.5000 0.6713 0.3426 Pb
0.5000 0.3287 0.6574 Pb

***

Entry 2:
Hf2NpSn (PBE, optimized geometry); M_tot = 3.95 μB/f.u.; calculated total energy = -36.47 eV for the cell shown; crystal system = tetragonal; ΔE to the lowest computed polymorph = 117 meV/atom; DFT formation energy = 0.375 eV/f.u.; D(E_F) = 1.85 states/eV per atom
1.0
-2.7633 -1.7214 -1.6005
1.6535 -3.1793 0.5646
-3.1224 -0.5597 5.9929
Sn Hf Np
1 2 1
Direct
0.5000 0.5000 0.5000 Sn
0.0000 0.0000 0.2555 Hf
0.0000 0.0000 0.7445 Hf
0.5000 0.5000 0.0000 Np

***

Entry 3:
KAs2Ir (PBE, optimized geometry); M_tot = 0.00 μB/f.u.; calculated total energy = -16.21 eV for the cell shown; crystal system = cubic; ΔE to the lowest computed polymorph = 1069 meV/atom; DFT formation energy = 3.049 eV/f.u.; D(E_F) = 0.76 states/eV per atom
1.0
4.8050 0.0000 0.0000
2.4025 4.1612 0.0000
2.4025 1.3871 3.9232
K As Ir
1 2 1
Direct
0.7500 0.7500 0.7500 K
0.0000 0.0000 0.0000 As
0.2500 0.2500 0.2500 As
0.5000 0.5000 0.5000 Ir

***

Entry 4:
NpBeN (PBE, optimized geometry); M_tot = 0.00 μB/f.u.; calculated total energy = -50.12 eV for the cell shown; crystal system = tetragonal; formation energy without anion corrections = -2.1 kJ/mol of atoms; D(E_F) = 1.00 states/eV per atom
1.0
3.4125 0.0181 0.0000
-0.0181 3.4125 0.0000
0.0000 0.0000 5.3003
N Np Be
2 2 2
Direct
0.8365 0.8365 0.5000 N
0.3365 0.3365 0.5000 N
0.3365 0.8365 0.1220 Np
0.8365 0.3365 0.8780 Np
0.8364 0.3364 0.4072 Be
0.3364 0.8364 0.5928 Be

***

Entry 5:
Be3FeRh4 (PBE, optimized geometry); M_tot = 3.82 μB/f.u.; calculated total energy = -52.85 eV for the cell shown; crystal system = tetragonal; DFT formation energy = -3.808 eV/f.u.; D(E_F) = 0.78 states/eV per atom
1.0
2.8174 0.0000 0.0000
0.0000 2.8174 0.0000
0.0000 0.0000 11.5524
Fe Be Rh
1 3 4
Direct
0.5000 0.5000 0.0000 Fe
0.5000 0.5000 0.5000 Be
0.5000 0.5000 0.2645 Be
0.5000 0.5000 0.7355 Be
0.0000 0.0000 0.3806 Rh
0.0000 0.0000 0.6194 Rh
0.0000 0.0000 0.8580 Rh
0.0000 0.0000 0.1420 Rh

***

Entry 6:
HfNbS2 (PBE, optimized geometry); M_tot = 0.00 μB/f.u.; calculated total energy = -129.82 eV for the cell shown; crystal system = orthorhombic; formation energy without anion corrections = -100.7 kJ/mol of atoms; ΔE to the lowest computed polymorph = 0 meV/atom; D(E_F) = 0.78 states/eV per atom
1.0
-0.6439 -3.0003 1.3735
-1.1749 -2.1442 -5.2345
14.1125 -3.7714 -1.6226
S Hf Nb
8 4 4
Direct
0.7500 0.2358 0.8080 S
0.2500 0.2642 0.3080 S
0.7500 0.2617 0.5725 S
0.7500 0.7358 0.6920 S
0.7500 0.7617 0.9275 S
0.2500 0.7642 0.1920 S
0.2500 0.2383 0.0725 S
0.2500 0.7383 0.4275 S
0.7500 0.0722 0.4130 Hf
0.7500 0.5722 0.0870 Hf
0.2500 0.4278 0.9130 Hf
0.2500 0.9278 0.5870 Hf
0.2500 0.4049 0.6941 Nb
0.7500 0.0951 0.1941 Nb
0.7500 0.5951 0.3059 Nb
0.2500 0.9049 0.8059 Nb

***

> The highest M_tot belongs to which entry?

Hf2NpSn

***

> Number 4 is which compound?

NpBeN

***

> Number 4 is which compound?

NpBeN

***

> Which of these has the highest D(E_F)?

Hf2NpSn